(1)
BaNbAu (PBE-GGA, relaxed); uncorrected energy = -5.113 eV/atom; density of states at the Fermi level = 1.3269 states/eV per atom; space-group type = No. 11; E above lowest polymorph = 0.1 kJ/mol of atoms
1.0
3.5467 0.0000 0.0000
0.0000 3.5469 0.0000
-0.0909 0.0000 13.1861
Ba Nb Au
2 2 2
Direct
0.2417 0.2500 0.1533
0.7583 0.7500 0.8467
0.2488 0.2500 0.4506
0.7512 0.7500 0.5494
0.2543 0.2500 0.6740
0.7457 0.7500 0.3260

---

(2)
BaNbAu (PBE-GGA, relaxed); uncorrected energy = -3.771 eV/atom; density of states at the Fermi level = 0.9722 states/eV per atom; space-group type = No. 216; E above lowest polymorph = 129.5 kJ/mol of atoms
1.0
0.0000 3.7612 3.7612
3.7612 0.0000 3.7612
3.7612 3.7612 0.0000
Ba Nb Au
1 1 1
Direct
0.0000 0.0000 0.0000
0.7500 0.7500 0.7500
0.2500 0.2500 0.2500

---

(3)
BaNbAu (PBE-GGA, relaxed); uncorrected energy = -5.022 eV/atom; density of states at the Fermi level = 0.7721 states/eV per atom; space-group type = No. 62; E above lowest polymorph = 8.8 kJ/mol of atoms
1.0
7.6307 0.0000 0.0000
0.0000 4.7987 0.0000
0.0000 0.0000 9.4931
Ba Nb Au
4 4 4
Direct
0.0829 0.2500 0.1557
0.4171 0.7500 0.6557
0.5829 0.2500 0.3443
0.9171 0.7500 0.8443
0.0340 0.2500 0.5474
0.4660 0.7500 0.0474
0.5340 0.2500 0.9526
0.9660 0.7500 0.4526
0.2175 0.2500 0.8177
0.2825 0.7500 0.3177
0.7175 0.2500 0.6823
0.7825 0.7500 0.1823

---

(4)
BaNbAu (PBE-GGA, relaxed); uncorrected energy = -5.078 eV/atom; density of states at the Fermi level = 1.3661 states/eV per atom; space-group type = No. 44; E above lowest polymorph = 3.5 kJ/mol of atoms
1.0
-1.9659 2.0669 11.2938
1.9659 -2.0669 11.2938
1.9659 2.0669 -11.2938
Ba Nb Au
2 2 2
Direct
0.0000 0.0000 0.0000
0.3261 0.3261 0.0000
0.1539 0.6539 0.5000
0.6716 0.1716 0.5000
0.5707 0.5707 0.0000
0.7572 0.7572 0.0000

---

(5)
BaNbAu (PBE-GGA, relaxed); uncorrected energy = -4.944 eV/atom; density of states at the Fermi level = 0.7868 states/eV per atom; space-group type = No. 26; E above lowest polymorph = 16.4 kJ/mol of atoms
1.0
3.3874 0.0000 0.0000
0.0000 8.8606 0.0000
0.0000 0.0000 5.2663
Ba Nb Au
2 2 2
Direct
0.0000 0.1315 0.0000
0.0000 0.8685 0.5000
0.0000 0.4941 0.7466
0.0000 0.5059 0.2466
0.5000 0.2800 0.4967
0.5000 0.7200 0.9967

---

(6)
BaNbAu (PBE-GGA, relaxed); uncorrected energy = -4.971 eV/atom; density of states at the Fermi level = 0.7963 states/eV per atom; space-group type = No. 1; E above lowest polymorph = 13.8 kJ/mol of atoms
1.0
4.5046 0.0000 0.0000
-0.0004 4.6538 0.0000
-0.3435 -0.0089 8.5686
Ba Nb Au
2 2 2
Direct
0.0000 0.0000 0.0000
0.4788 0.4997 0.6613
0.5049 0.0039 0.3124
0.9524 0.9975 0.4810
0.0229 0.4981 0.3325
0.5096 0.5025 0.1039

---

(7)
BaNbAu (PBE-GGA, relaxed); uncorrected energy = -5.002 eV/atom; density of states at the Fermi level = 0.7984 states/eV per atom; space-group type = No. 2; E above lowest polymorph = 10.8 kJ/mol of atoms
1.0
3.7797 0.0000 0.0000
-0.0003 3.8173 0.0000
-0.0037 -1.9054 12.2448
Ba Nb Au
2 2 2
Direct
0.2487 0.3320 0.1604
0.7513 0.6680 0.8396
0.2498 0.4627 0.4233
0.7502 0.5373 0.5767
0.2502 0.0716 0.6458
0.7498 0.9284 0.3542

---

(8)
BaNbAu (PBE-GGA, relaxed); uncorrected energy = -4.196 eV/atom; density of states at the Fermi level = 0.8405 states/eV per atom; space-group type = No. 216; E above lowest polymorph = 88.5 kJ/mol of atoms
1.0
0.0000 3.4503 3.4503
3.4503 0.0000 3.4503
3.4503 3.4503 0.0000
Ba Nb Au
1 1 1
Direct
0.0000 0.0000 0.0000
0.7500 0.7500 0.7500
0.5000 0.5000 0.5000